VASP calculation (PBE-GGA) on a geometry-optimized SmLuPa structure.

Values from the calculation:
Calculated total energy (eV per atom): -6.12
ΔE to the lowest computed polymorph (kJ/mol of formula units): 0
Volume (Å³/cell): 86
Calculated formation energy (eV/atom): 0.129
Theoretical density (g cm⁻³): 10.70

abc: 3.416 3.416 8.544
angles: 90.00 90.00 120.00
Sites, in units of the cell vectors:
Sm1 0.000 0.000 0.000
Lu1 0.333 0.667 0.641
Pa1 0.667 0.333 0.326



VASP calculation (PBE-GGA) on a geometry-optimized Sr3Bi2Br structure.

Values from the calculation:
Formation energy from raw total energies (meV per atom): -1144
Calculated total energy (eV per atom): -3.56
Volume (Å³/cell): 923
Theoretical density (g cm⁻³): 5.48

abc: 11.367 4.266 19.024
angles: 90.00 90.00 90.00
Sites, in units of the cell vectors:
Sr1 0.116 0.250 0.095
Sr2 0.126 0.250 0.739
Sr3 0.129 0.750 0.421
Sr4 0.371 0.250 0.921
Sr5 0.374 0.750 0.239
Sr6 0.384 0.750 0.595
Sr7 0.616 0.250 0.405
Sr8 0.626 0.250 0.761
Sr9 0.629 0.750 0.079
Sr10 0.871 0.250 0.579
Sr11 0.874 0.750 0.261
Sr12 0.884 0.750 0.905
Bi1 0.128 0.250 0.273
Bi2 0.163 0.250 0.562
Bi3 0.337 0.750 0.062
Bi4 0.372 0.750 0.773
Bi5 0.628 0.250 0.227
Bi6 0.663 0.250 0.938
Bi7 0.837 0.750 0.438
Bi8 0.872 0.750 0.727
Br1 0.083 0.250 0.914
Br2 0.417 0.750 0.414
Br3 0.583 0.250 0.586
Br4 0.917 0.750 0.086



VASP calculation (PBE-GGA) on a geometry-optimized CeY4Zn5 structure.

Values from the calculation:
Calculated total energy (eV per atom): -4.14
Volume (Å³/cell): 231
Calculated formation energy (eV/atom): -0.321
Theoretical density (g cm⁻³): 5.91

abc: 3.577 3.577 18.052
angles: 90.00 90.00 90.00
Sites, in units of the cell vectors:
Ce1 0.000 0.000 0.000
Y1 0.000 0.000 0.203
Y2 0.000 0.000 0.401
Y3 0.000 0.000 0.599
Y4 0.000 0.000 0.797
Zn1 0.500 0.500 0.106
Zn2 0.500 0.500 0.302
Zn3 0.500 0.500 0.500
Zn4 0.500 0.500 0.698
Zn5 0.500 0.500 0.894



VASP calculation (PBE-GGA) on a geometry-optimized Na2HfBeO4 structure.

Values from the calculation:
Formation energy from raw total energies (meV per atom): -2295
Calculated total energy (eV per atom): -6.81
Volume (Å³/cell): 90
Theoretical density (g cm⁻³): 5.46

abc: 4.917 4.917 4.917
angles: 106.00 106.00 116.66
Sites, in units of the cell vectors:
Na1 0.000 0.500 0.500
Na2 0.500 0.000 0.500
Hf1 0.000 0.000 0.000
Be1 0.500 0.500 0.000
O1 0.131 0.131 0.685
O2 0.446 0.446 0.315
O3 0.554 0.869 0.000
O4 0.869 0.554 0.000



VASP calculation (PBE-GGA) on a geometry-optimized Pm7Y6Ho16 structure.

Values from the calculation:
Calculated total energy (eV per atom): -4.76
Volume (Å³/cell): 984
Calculated formation energy (eV/atom): 0.248
Theoretical density (g cm⁻³): 7.07

abc: 11.164 11.164 11.164
angles: 60.00 60.00 60.00
Sites, in units of the cell vectors:
Pm1 0.000 0.000 0.000
Pm2 0.000 0.000 0.500
Pm3 0.000 0.500 0.000
Pm4 0.000 0.500 0.500
Pm5 0.500 0.000 0.000
Pm6 0.500 0.000 0.500
Pm7 0.500 0.500 0.000
Y1 0.272 0.272 0.728
Y2 0.272 0.728 0.272
Y3 0.272 0.728 0.728
Y4 0.728 0.272 0.272
Y5 0.728 0.272 0.728
Y6 0.728 0.728 0.272
Ho1 0.042 0.653 0.653
Ho2 0.126 0.126 0.126
Ho3 0.126 0.126 0.623
Ho4 0.126 0.623 0.126
Ho5 0.347 0.347 0.347
Ho6 0.347 0.347 0.958
Ho7 0.347 0.958 0.347
Ho8 0.377 0.874 0.874
Ho9 0.623 0.126 0.126
Ho10 0.653 0.042 0.653
Ho11 0.653 0.653 0.042
Ho12 0.653 0.653 0.653
Ho13 0.874 0.377 0.874
Ho14 0.874 0.874 0.377
Ho15 0.874 0.874 0.874
Ho16 0.958 0.347 0.347



VASP calculation (PBE-GGA) on a geometry-optimized TaCd3Fe structure.

Values from the calculation:
Calculated total energy (eV per atom): -3.37
ΔE to the lowest computed polymorph (kJ/mol of formula units): 0
Volume (Å³/cell): 111
Calculated formation energy (eV/atom): 1.244
Theoretical density (g cm⁻³): 8.60

abc: 4.804 4.804 4.804
angles: 90.00 90.00 90.00
Sites, in units of the cell vectors:
Ta1 0.000 0.000 0.000
Cd1 0.000 0.500 0.500
Cd2 0.500 0.000 0.500
Cd3 0.500 0.500 0.000
Fe1 0.500 0.500 0.500



VASP calculation (PBE-GGA) on a geometry-optimized SmPuCoCu structure.

Values from the calculation:
Calculated total energy (eV per atom): -7.53
Volume (Å³/cell): 81
Calculated formation energy (eV/atom): 0.038
Theoretical density (g cm⁻³): 10.56

abc: 4.862 4.862 4.862
angles: 60.00 60.00 60.00
Sites, in units of the cell vectors:
Sm1 0.000 0.000 0.000
Pu1 0.500 0.500 0.500
Co1 0.250 0.250 0.250
Cu1 0.750 0.750 0.750



VASP calculation (PBE-GGA) on a geometry-optimized PmDy7Er4 structure.

Values from the calculation:
Calculated total energy (eV per atom): -4.60
ΔE to the lowest computed polymorph (kJ/mol of formula units): 0
Volume (Å³/cell): 376
Calculated formation energy (eV/atom): -0.003
Theoretical density (g cm⁻³): 8.61

abc: 6.177 7.135 8.786
angles: 90.00 103.54 90.02
Sites, in units of the cell vectors:
Pm1 0.000 0.000 0.000
Dy1 0.000 0.500 0.000
Dy2 0.222 0.000 0.665
Dy3 0.279 0.749 0.336
Dy4 0.500 0.251 0.000
Dy5 0.500 0.749 0.000
Dy6 0.721 0.251 0.664
Dy7 0.778 0.000 0.335
Er1 0.221 0.500 0.665
Er2 0.279 0.251 0.335
Er3 0.721 0.749 0.665
Er4 0.779 0.500 0.335



VASP calculation (PBE-GGA) on a geometry-optimized ReAu structure.

Values from the calculation:
Calculated total energy (eV per atom): -6.75
ΔE to the lowest computed polymorph (kJ/mol of formula units): 188
Volume (Å³/cell): 77
Calculated formation energy (eV/atom): 1.118
Theoretical density (g cm⁻³): 16.62

abc: 4.241 4.241 4.915
angles: 90.00 90.00 120.00
Sites, in units of the cell vectors:
Re1 0.000 0.000 0.000
Re2 0.000 0.000 0.500
Au1 0.333 0.667 0.250
Au2 0.667 0.333 0.750



VASP calculation (PBE-GGA) on a geometry-optimized Nd9Tl2Sn structure.

Values from the calculation:
Calculated total energy (eV per atom): -4.59
Volume (Å³/cell): 371
Calculated formation energy (eV/atom): -0.290
Theoretical density (g cm⁻³): 8.17

abc: 4.984 4.984 14.935
angles: 90.00 90.00 90.00
Sites, in units of the cell vectors:
Nd1 0.000 0.000 0.000
Nd2 0.000 0.000 0.332
Nd3 0.000 0.000 0.668
Nd4 0.000 0.500 0.164
Nd5 0.000 0.500 0.500
Nd6 0.000 0.500 0.836
Nd7 0.500 0.000 0.164
Nd8 0.500 0.000 0.500
Nd9 0.500 0.000 0.836
Tl1 0.500 0.500 0.333
Tl2 0.500 0.500 0.667
Sn1 0.500 0.500 0.000



What is the formula in the fifth record? Pm7Y6Ho16



What is the formula in the seventh record? SmPuCoCu



What is the formula in the fifth record? Pm7Y6Ho16



Which of these has the highest calculated total energy? TaCd3Fe